Record 1
Material: Y2PtPb
Method: DFT, SCAN
State: PBEsol geometry

Output
Total DFT energy (no corrections), eV/cell: -206.00
E_form, eV/atom: -1.08
Total magnetic moment, Bohr magnetons per cell: 0.00
Density, Mg/m³: 10.1

a = 3.485 Å, b = 3.485 Å, c = 7.844 Å
α = 90.00°, β = 90.00°, γ = 90.00°
Space group P4/mmm (No. 123)
Unique sites:
Y  0.000  0.000  0.213 (multiplicity 2)
Pt  0.500  0.500  0.000 (multiplicity 1)
Pb  0.500  0.500  0.500 (multiplicity 1)



Record 2
Material: LaTl2Cd
Method: DFT, SCAN
State: PBEsol geometry

Output
Total DFT energy (no corrections), eV/cell: -219.37
E_form, eV/atom: -0.28
Total magnetic moment, Bohr magnetons per cell: 0.00
Density, Mg/m³: 10.2

a = 3.309 Å, b = 5.214 Å, c = 6.248 Å
α = 90.00°, β = 90.05°, γ = 90.00°
Space group Pm (No. 6)
Unique sites:
La  0.000  0.000  0.000 (multiplicity 1)
Tl  0.498  0.000  0.508 (multiplicity 1)
Tl  0.502  0.500  0.233 (multiplicity 1)
Cd  0.499  0.500  0.747 (multiplicity 1)



Record 3
Material: RbAlSe2
Method: DFT, SCAN
State: PBEsol geometry

Output
Total DFT energy (no corrections), eV/cell: -295.07
Total magnetic moment, Bohr magnetons per cell: 0.00
Density, Mg/m³: 3.8

a = 7.380 Å, b = 7.380 Å, c = 8.659 Å
α = 90.00°, β = 90.00°, γ = 90.00°
Space group I-42d (No. 122)
Unique sites:
Rb  0.000  0.000  0.000 (multiplicity 4)
Al  0.000  0.000  0.500 (multiplicity 4)
Se  0.148  0.750  0.625 (multiplicity 8)



Record 4
Material: ZrAlSb2Te
Method: DFT, SCAN
State: PBEsol geometry

Output
Total DFT energy (no corrections), eV/cell: -148.59
Total magnetic moment, Bohr magnetons per cell: 0.00
Density, Mg/m³: 4.9
Energy above the most stable polymorph in this dataset, meV/atom: 0

a = 5.499 Å, b = 5.499 Å, c = 5.475 Å
α = 90.00°, β = 90.00°, γ = 90.00°
Space group P4/mmm (No. 123)
Unique sites:
Zr  0.000  0.000  0.000 (multiplicity 1)
Al  0.500  0.500  0.500 (multiplicity 1)
Sb  0.000  0.500  0.000 (multiplicity 2)
Te  0.000  0.000  0.500 (multiplicity 1)



What is the formula in the third record? RbAlSe2



Which of these has the lowest density? RbAlSe2